# 1
A relaxed structure of BaLiTiBr2. Source: the Alexandria database, functional PBE-GGA.

The formation energy from raw total energies comes out at -0.142 eV per atom. The value obtained for the uncorrected energy is -0.232 Ry per atom.

The structure belongs to space group P4/mmm (No. 123); the cell edges are 5.059, 5.059 and 6.367 Å and the angles 90.00°, 90.00° and 90.00°. The inequivalent atoms are Ba at (0.000, 0.000, 0.000), Li at (0.000, 0.000, 0.500), Ti at (0.500, 0.500, 0.000) and Br at (0.000, 0.500, 0.500).

# 2
A relaxed structure of Ca4CePa3As8. Source: the Alexandria database, functional PBE-GGA.

The calculation puts the formation energy at -1197.5 meV/atom. The value obtained for the uncorrected energy is -0.454 Ry per atom.

The structure belongs to space group C2/m (No. 12); the cell edges are 14.492, 8.408 and 8.378 Å and the angles 90.00°, 125.03° and 90.00°. The inequivalent atoms are Ca at (0.000, 0.000, 0.000), Ca at (0.000, 0.500, 0.000), Ca at (0.250, 0.250, 0.500), Ce at (0.000, 0.000, 0.500), Pa at (0.000, 0.500, 0.500), Pa at (0.250, 0.250, 0.000), As at (0.007, 0.255, 0.748), As at (0.244, 0.500, 0.756) and As at (0.249, 0.000, 0.764).

# 3
A relaxed structure of TiAl2ZnAs. Source: the Alexandria database, functional PBE-GGA.

The calculation puts the formation energy at 535.8 meV/atom. The value obtained for the uncorrected energy is -0.274 Ry per atom.

The structure belongs to space group P4/mmm (No. 123); the cell edges are 4.807, 4.807 and 4.749 Å and the angles 90.00°, 90.00° and 90.00°. The inequivalent atoms are Ti at (0.000, 0.000, 0.000), Al at (0.000, 0.500, 0.500), Zn at (0.500, 0.500, 0.000) and As at (0.000, 0.000, 0.500).

# 4
A relaxed structure of Ni7Mo2Pt. Source: the Alexandria database, functional PBE-GGA.

The calculation puts the formation energy at 592.2 meV/atom. The value obtained for the uncorrected energy is -0.458 Ry per atom.

The structure belongs to space group Cmmm (No. 65); the cell edges are 6.283, 13.225 and 3.610 Å and the angles 90.00°, 90.00° and 90.00°. The inequivalent atoms are Ni at (0.000, 0.000, 0.000), Ni at (0.000, 0.311, 0.500), Ni at (0.192, 0.397, 0.000), Mo at (0.000, 0.200, 0.000) and Pt at (0.000, 0.500, 0.500).

> Which value of uncorrected energy does entry 4 give?

-0.458 Ry per atom